Record 1
Compound: Nd2BiPd6
Source: the Alexandria database
Functional: PBE
Structure: relaxed

Properties
Formation energy   -0.64 eV per atom
M_tot   0.0 μB/f.u.
Fermi-level density of states   0.644 states/eV/atom

abc: 10.2374 5.9102 6.1073
angles: 90.00 90.03 90.00
Space group C2/m (No. 12)
Inequivalent atoms, fractional coordinates:
Nd 0.1674 0.0000 0.3114 x4
Bi 0.0000 0.5000 0.5000 x2
Pd 0.0894 0.2314 0.8285 x8
Pd 0.1794 0.5000 0.1736 x4

Record 2
Compound: HoPuInGa
Source: the Alexandria database
Functional: PBE
Structure: relaxed

Properties
Formation energy   -0.31 eV per atom
M_tot   5.8 μB/f.u.
Fermi-level density of states   2.006 states/eV/atom

abc: 7.3659 7.3659 7.3659
angles: 90.00 90.00 90.00
Space group F-43m (No. 216)
Inequivalent atoms, fractional coordinates:
Ho 0.0000 0.0000 0.0000 x4
Pu 0.0000 0.0000 0.5000 x4
In 0.2500 0.2500 0.7500 x4
Ga 0.2500 0.2500 0.2500 x4

Record 3
Compound: LiCoCl6
Source: the Alexandria database
Functional: PBE
Structure: relaxed

Properties
Energy relative to the elements, uncorrected   -0.559 eV per atom
M_tot   2.1 μB/f.u.
Fermi-level density of states   0.877 states/eV/atom

abc: 6.1255 6.1255 15.7013
angles: 90.00 90.00 120.00
Space group R-3 (No. 148, hexagonal axes)
Inequivalent atoms, fractional coordinates:
Li 0.0000 0.0000 0.0000 x3
Co 0.0000 0.0000 0.5000 x3
Cl 0.0157 0.3084 0.4196 x18